Entry 1:
Entry from Alexandria: crystalline RbSrTlAg2 at its relaxed geometry (PBE).

Unit cell a=5.6528 b=6.1459 c=5.6528 alpha=90.00 beta=90.00 gamma=90.00
With the nearest neighbours (Å) after each atom.
Sites, in units of the cell vectors:
Tl1 0.0000 0.0000 0.0000  4 Ag 2.83, 2 Sr 3.07
Rb1 0.5000 0.5000 0.5000  4 Sr 4.00, 8 Ag 4.18
Ag1 0.5000 0.0000 0.0000  2 Tl 2.83
Ag2 0.0000 0.0000 0.5000  2 Tl 2.83
Sr1 0.0000 0.5000 0.0000  2 Tl 3.07

Computed properties:
SG = No. 123
E_tot = -1.932 eV per atom
energy relative to the elements = 20.5 kJ per mole of atoms


Entry 2:
Entry from Alexandria: crystalline Ca3BW at its relaxed geometry (PBE).

Unit cell a=5.4597 b=5.4597 c=5.4597 alpha=90.00 beta=90.00 gamma=90.00
With the nearest neighbours (Å) after each atom.
Sites, in units of the cell vectors:
Ca1 0.0000 0.5000 0.0000  2 W 2.73
Ca2 0.0000 0.0000 0.5000  2 W 2.73
Ca3 0.5000 0.0000 0.0000  2 W 2.73
W1 0.0000 0.0000 0.0000  6 Ca 2.73
B1 0.5000 0.5000 0.5000  12 Ca 3.86

Computed properties:
SG = No. 221
E_tot = -3.296 eV per atom
energy relative to the elements = 176.7 kJ per mole of atoms
excess energy over the best structure of this formula in the dataset = 551 meV/atom


Which value of E_tot does entry 2 give?
-3.296 eV per atom


Which of these has the highest E_tot?
RbSrTlAg2


Number 1 is which compound?
RbSrTlAg2


Look up the energy relative to the elements of the first one.
20.5 kJ per mole of atoms